# Pm2Sm6YTm (PBE, relaxed)
# Fermi-level density of states, states/eV per cell: 54.31
# V, Å³/cell: 1351
# Energy relative to the elements, eV/atom: 0.11
data_Pm2Sm6YTm
_chemical_formula_sum 'Pm8 Sm24 Y4 Tm4'
_cell_length_a 9.153
_cell_length_b 15.352
_cell_length_c 9.705
_cell_angle_alpha 90.00
_cell_angle_beta 97.83
_cell_angle_gamma 90.00
_space_group_name_H-M_alt 'C 1 2/c 1'
_space_group_IT_number 15
loop_
_space_group_symop_operation_xyz
'x,y,z'
'-x,-y,-z'
'-x,y,-z+1/2'
'x,-y,z+1/2'
'x+1/2,y+1/2,z'
'-x+1/2,-y+1/2,-z'
'-x+1/2,y+1/2,-z+1/2'
'x+1/2,-y+1/2,z+1/2'
loop_
_atom_site_label
_atom_site_fract_x
_atom_site_fract_y
_atom_site_fract_z
Pm1 0.249 0.053 0.457
Sm1 0.059 0.314 0.945
Sm2 0.105 0.106 0.119
Sm3 0.206 0.278 0.310
Y1 0.000 0.479 0.250
Tm1 0.000 0.090 0.750